Below is an optimized crystal structure of Ac12LaPr3, with properties calculated at the PBE level.

Geometry as POSCAR:
```
Ac12LaPr3
1.0
5.5588 0.0000 0.0000
0.0000 5.5588 0.0000
0.0000 0.0000 22.1716
Ac La Pr
12 1 3
direct
0.0000 0.0000 0.0000
0.0000 0.0000 0.2494
0.0000 0.0000 0.5000
0.0000 0.0000 0.7506
0.0000 0.5000 0.1248
0.0000 0.5000 0.3745
0.0000 0.5000 0.6255
0.0000 0.5000 0.8752
0.5000 0.0000 0.1248
0.5000 0.0000 0.3745
0.5000 0.0000 0.6255
0.5000 0.0000 0.8752
0.5000 0.5000 0.5000
0.5000 0.5000 0.0000
0.5000 0.5000 0.2498
0.5000 0.5000 0.7502
```

Calculated values
E_tot in eV per atom: -4.268
SG: P4/mmm

---

Below is an optimized crystal structure of CuRu2F11, with properties calculated at the PBE level.

Geometry as POSCAR:
```
CuRu2F11
1.0
-3.9713 5.4944 5.2890
3.9713 -5.4944 5.2890
3.9713 5.4944 -5.2890
Cu Ru F
2 4 22
direct
0.2500 0.2500 0.0000
0.7500 0.7500 0.0000
0.0916 0.7209 0.8125
0.4084 0.2209 0.6292
0.5916 0.7791 0.3708
0.9084 0.2791 0.1875
0.0000 0.5000 0.5000
0.0551 0.5041 0.8215
0.1070 0.9430 0.7962
0.1468 0.3108 0.2038
0.1752 0.9232 0.0984
0.1826 0.0041 0.4490
0.3174 0.7664 0.8215
0.3248 0.4232 0.7479
0.3532 0.5570 0.1640
0.3930 0.1892 0.8360
0.4449 0.2664 0.4490
0.5000 0.0000 0.5000
0.5551 0.7336 0.5510
0.6070 0.8108 0.1640
0.6468 0.4430 0.8360
0.6752 0.5768 0.2521
0.6826 0.2336 0.1785
0.8174 0.9959 0.5510
0.8248 0.0768 0.9016
0.8532 0.6892 0.7962
0.8930 0.0570 0.2038
0.9449 0.4959 0.1785
```

Calculated values
Uncorrected formation energy in meV per atom: -1633
SG: Ibam

---

Below is an optimized crystal structure of KPu2HgSe4, with properties calculated at the PBE level.

Geometry as POSCAR:
```
KPu2HgSe4
1.0
2.1463 -7.2117 0.0000
2.1463 7.2117 0.0000
0.0000 0.0000 14.9382
K Pu Hg Se
2 4 2 8
direct
0.1270 0.8730 0.7500
0.8730 0.1270 0.2500
0.3718 0.6282 0.5608
0.3718 0.6282 0.9392
0.6282 0.3718 0.0608
0.6282 0.3718 0.4392
0.1533 0.8467 0.2500
0.8467 0.1533 0.7500
0.0000 0.0000 0.0000
0.0000 0.0000 0.5000
0.2632 0.7368 0.1045
0.2632 0.7368 0.3955
0.4577 0.5423 0.7500
0.5423 0.4577 0.2500
0.7368 0.2632 0.6045
0.7368 0.2632 0.8955
```

Calculated values
Uncorrected formation energy in meV per atom: -1114
SG: Cmcm

---

Below is an optimized crystal structure of ZrTiHg2, with properties calculated at the PBE level.

Geometry as POSCAR:
```
ZrTiHg2
1.0
4.4085 0.0000 0.0000
0.0000 4.4085 0.0000
0.0000 0.0000 4.1932
Zr Ti Hg
1 1 2
direct
0.0000 0.0000 0.0000
0.5000 0.5000 0.0000
0.0000 0.5000 0.5000
0.5000 0.0000 0.5000
```

Calculated values
SG: P4/mmm
ΔE to the lowest computed polymorph in eV/f.u.: 0.00

---

Below is an optimized crystal structure of NdY8Tm4, with properties calculated at the PBE level.

Geometry as POSCAR:
```
NdY8Tm4
1.0
3.6402 2.1017 9.0671
-3.6402 2.1017 9.0671
0.0000 -4.2034 9.0671
Nd Y Tm
1 8 4
direct
0.0000 0.0000 0.0000
0.2500 0.2500 0.6984
0.2500 0.6984 0.2500
0.2820 0.2820 0.2820
0.3016 0.7500 0.7500
0.6984 0.2500 0.2500
0.7180 0.7180 0.7180
0.7500 0.3016 0.7500
0.7500 0.7500 0.3016
0.0000 0.0000 0.5000
0.0000 0.5000 0.0000
0.5000 0.0000 0.0000
0.5000 0.5000 0.5000
```

Calculated values
E_tot in eV per atom: -5.512
SG: R-3m

---

Below is an optimized crystal structure of Sm2Y2Tm5, with properties calculated at the PBE level.

Geometry as POSCAR:
```
Sm2Y2Tm5
1.0
3.5905 0.0000 0.0000
-1.7903 8.5582 0.0000
-0.0106 -1.9403 9.2882
Sm Y Tm
2 2 5
direct
0.0183 0.0363 0.3249
0.9817 0.9637 0.6751
0.3171 0.6367 0.7509
0.6829 0.3633 0.2491
0.1638 0.3277 0.9256
0.3525 0.7025 0.4018
0.5000 0.0000 0.0000
0.6475 0.2975 0.5982
0.8362 0.6723 0.0744
```

Calculated values
SG: P-1
ΔE to the lowest computed polymorph in eV/f.u.: 0.00

---

Below is an optimized crystal structure of ScTlRu, with properties calculated at the PBE level.

Geometry as POSCAR:
```
ScTlRu
1.0
0.0000 3.2131 3.2131
3.2131 0.0000 3.2131
3.2131 3.2131 0.0000
Sc Tl Ru
1 1 1
direct
0.0000 0.0000 0.0000
0.5000 0.5000 0.5000
0.2500 0.2500 0.2500
```

Calculated values
E_tot in eV per atom: -5.975
SG: F-43m

---

Below is an optimized crystal structure of PmNiPt, with properties calculated at the PBE level.

Geometry as POSCAR:
```
PmNiPt
1.0
4.2560 0.0000 0.0000
-2.1280 3.6858 0.0000
0.0000 0.0000 3.8658
Pm Ni Pt
1 1 1
direct
0.0000 0.0000 0.0000
0.3333 0.6667 0.5000
0.6667 0.3333 0.5000
```

Calculated values
SG: P-6m2
ΔE to the lowest computed polymorph in eV/f.u.: 0.09

---

Below is an optimized crystal structure of LaPmDyTm2, with properties calculated at the PBE level.

Geometry as POSCAR:
```
LaPmDyTm2
1.0
4.2089 -5.7531 0.0000
4.2089 5.7531 0.0000
0.0000 0.0000 7.2102
La Pm Dy Tm
2 2 2 4
direct
0.2339 0.7661 0.7500
0.7661 0.2339 0.2500
0.4996 0.5004 0.2500
0.5004 0.4996 0.7500
0.2165 0.7835 0.2500
0.7835 0.2165 0.7500
0.1871 0.1871 0.0000
0.1871 0.1871 0.5000
0.8129 0.8129 0.0000
0.8129 0.8129 0.5000
```

Calculated values
E_tot in eV per atom: -4.290
SG: Cmcm

---

Below is an optimized crystal structure of BaGeSe2, with properties calculated at the PBE level.

Geometry as POSCAR:
```
BaGeSe2
1.0
7.9180 0.0000 0.0000
0.0000 9.7258 0.0000
-2.4414 0.0000 6.9365
Ba Ge Se
4 4 8
direct
0.2499 0.1112 0.9996
0.2499 0.3888 0.4996
0.7501 0.6112 0.5004
0.7501 0.8888 0.0004
0.2491 0.6777 0.9953
0.2491 0.8223 0.4953
0.7509 0.1777 0.5047
0.7509 0.3223 0.0047
0.0330 0.6556 0.2624
0.0330 0.8444 0.7624
0.4645 0.6580 0.7347
0.4645 0.8420 0.2347
0.5355 0.1580 0.7653
0.5355 0.3420 0.2653
0.9670 0.1556 0.2376
0.9670 0.3444 0.7376
```

Calculated values
Uncorrected formation energy in meV per atom: -1112
SG: P2_1/c

---

Below is an optimized crystal structure of Ga6Cu3Ni, with properties calculated at the PBE level.

Geometry as POSCAR:
```
Ga6Cu3Ni
1.0
6.7015 0.0000 0.0000
0.0000 6.2584 0.0000
-5.1053 0.0000 7.4699
Ga Cu Ni
12 6 2
direct
0.0484 0.0217 0.2845
0.0484 0.4783 0.7845
0.2431 0.6840 0.1015
0.2431 0.8160 0.6015
0.3809 0.1100 0.0524
0.3809 0.3900 0.5524
0.6191 0.6100 0.4476
0.6191 0.8900 0.9476
0.7569 0.1840 0.3985
0.7569 0.3160 0.8985
0.9516 0.5217 0.2155
0.9516 0.9783 0.7155
0.2904 0.1942 0.7453
0.2904 0.3058 0.2453
0.5000 0.0000 0.5000
0.5000 0.5000 0.0000
0.7096 0.6942 0.7547
0.7096 0.8058 0.2547
0.0000 0.0000 0.0000
0.0000 0.5000 0.5000
```

Calculated values
E_tot in eV per atom: -3.683
SG: P2_1/c

---

Below is an optimized crystal structure of MgAs, with properties calculated at the PBE level.

Geometry as POSCAR:
```
MgAs
1.0
5.6634 -1.8198 0.0000
5.6634 1.8198 0.0000
-4.3834 0.0000 6.2043
Mg As
3 3
direct
0.0000 0.0000 0.0000
0.6342 0.6342 0.7154
0.8271 0.8271 0.3583
0.1070 0.1070 0.4183
0.2577 0.2577 0.0451
0.3728 0.3728 0.6705
```

Calculated values
SG: Cm
ΔE to the lowest computed polymorph in eV/f.u.: 0.15

---

Total magnetic moment (μB/atom)
0.0000 0.4291 1.3728 0.3419 0.0000 0.0000 0.0000 0.1053 0.0000 0.0000 0.0000 0.0000